Material: PRu2Pb
Method: DFT, GGA-PBE
State: relaxed

Values from the calculation:
As for the total energy: -6.270 eV per atom. The spin magnetization comes out at 0.0 μB per cell.

abc: 5.1556 5.1556 3.0995
angles: 106.83 106.83 107.54
Closest atoms and distances in Å follow each position.
Atoms (fractional coordinates):
1 P 0.0000 0.0000 0.0000  4 Ru 2.59
2 Ru 0.0000 0.5000 0.5000  2 Pb 2.59, 2 P 2.59
3 Ru 0.5000 0.0000 0.5000  2 Pb 2.59, 2 P 2.59
4 Pb 0.5000 0.5000 0.0000  4 Ru 2.59